Entry from the Alexandria database: a relaxed structure of Sr2LiRu (PBE-GGA).

The structure in POSCAR format:
```
Sr2LiRu
1.0
8.379 0.000 0.000
0.000 8.379 0.000
0.000 0.000 6.796
Sr Li Ru
8 4 4
direct
0.207 0.250 0.125 Sr
0.250 0.707 0.375 Sr
0.250 0.793 0.875 Sr
0.293 0.250 0.625 Sr
0.707 0.750 0.625 Sr
0.750 0.207 0.875 Sr
0.750 0.293 0.375 Sr
0.793 0.750 0.125 Sr
0.000 0.000 0.500 Li
0.000 0.500 0.750 Li
0.500 0.000 0.250 Li
0.500 0.500 0.000 Li
0.000 0.000 0.000 Ru
0.000 0.500 0.250 Ru
0.500 0.000 0.750 Ru
0.500 0.500 0.500 Ru
```

Computed properties:
The space-group type is I-42d, No. 122. The calculation puts the uncorrected energy at -3.039 eV per atom.

***

Entry from the Alexandria database: a relaxed structure of Sr2Li2Ru (PBE-GGA).

The structure in POSCAR format:
```
Sr2Li2Ru
1.0
7.199 0.000 0.000
0.000 7.199 0.000
0.000 0.000 4.901
Sr Li Ru
4 4 2
direct
0.197 0.303 0.000 Sr
0.303 0.803 0.000 Sr
0.697 0.197 0.000 Sr
0.803 0.697 0.000 Sr
0.136 0.636 0.500 Li
0.364 0.136 0.500 Li
0.636 0.864 0.500 Li
0.864 0.364 0.500 Li
0.000 0.000 0.500 Ru
0.500 0.500 0.500 Ru
```

Computed properties:
The energy relative to the lowest polymorph listed for this composition comes out at 0.0742 eV per atom. The space-group type is P4/mbm, No. 127.

***

| no. | DOS at the Fermi energy (states/eV per cell) |
| --- | --- |
| 1 | 27.35 |
| 2 | 3.36 |